Material: NaAg3Pt
Method: DFT, SCAN
State: single point on PBEsol structure

a b c (Å): 5.055 5.055 5.055
angles (deg): 90.00 90.00 90.00
Fractional coordinates of all 5 atoms:
Na 0.000 0.000 0.000
Ag 0.000 0.500 0.500
Ag 0.500 0.000 0.500
Ag 0.500 0.500 0.000
Pt 0.500 0.500 0.500

Crystal system: cubic
Formation energy from the elements: 0.44 eV per atom
Total moment: 0.000 μB/cell
Space group: Pm-3m
Uncorrected energy: -33.27 eV per atom

---

Material: Na2TcAgPt
Method: DFT, SCAN
State: single point on PBEsol structure

a b c (Å): 5.333 5.333 4.623
angles (deg): 90.00 90.00 90.00
Fractional coordinates of all 5 atoms:
Na 0.000 0.500 0.000
Na 0.500 0.000 0.000
Tc 0.000 0.000 0.000
Ag 0.500 0.500 0.500
Pt 0.000 0.000 0.500

Crystal system: tetragonal
Formation energy from the elements: 1.09 eV per atom
Total moment: 1.762 μB/cell
Space group: P4/mmm
Uncorrected energy: -27.92 eV per atom

---

Please write out number 1 again, unchanged.
Material: NaAg3Pt
Method: DFT, SCAN
State: single point on PBEsol structure

a b c (Å): 5.055 5.055 5.055
angles (deg): 90.00 90.00 90.00
Fractional coordinates of all 5 atoms:
Na 0.000 0.000 0.000
Ag 0.000 0.500 0.500
Ag 0.500 0.000 0.500
Ag 0.500 0.500 0.000
Pt 0.500 0.500 0.500

Crystal system: cubic
Formation energy from the elements: 0.44 eV per atom
Total moment: 0.000 μB/cell
Space group: Pm-3m
Uncorrected energy: -33.27 eV per atom